The following is a PBE with a Hubbard U calculation of a geometry-optimized Li2Si2Ni2O7 structure, from Alexandria.

Calculated values
Magnetization: 0.307 μB/atom
Raw total energy: -326.35 eV per cell

Geometry as CIF:
```
data_Li2Si2Ni2O7
_chemical_formula_sum 'Li8 Si8 Ni8 O28'
_symmetry_space_group_name_H-M 'A m a 2'
_symmetry_Int_Tables_number 40
_symmetry_space_group_name_Hall 'A 2 -2a'
_cell_length_a 13.052
_cell_length_b 8.323
_cell_length_c 5.070
_cell_angle_alpha 90.00
_cell_angle_beta 90.00
_cell_angle_gamma 90.00
loop_
_atom_site_label
_atom_site_type_symbol
_atom_site_fract_x
_atom_site_fract_y
_atom_site_fract_z
Li1 Li 0.085 0.201 0.000
Si1 Si 0.137 0.350 0.502
Ni1 Ni 0.000 0.000 0.491
Ni2 Ni 0.250 0.003 0.472
O1 O 0.051 0.223 0.594
O2 O 0.131 0.009 0.195
O3 O 0.135 0.404 0.191
O4 O 0.250 0.255 0.560
```